# 1
{
  "formula": "ReNi2Pb",
  "functional": "SCAN",
  "state": "PBEsol geometry",
  "formation_energy_mev_per_atom": 565,
  "dft_energy_ev_per_cell": -177.0,
  "dos_at_fermi_per_ev_fu": 3.49,
  "lattice": [[2.826, 0.000, 0.051], [0.000, 4.238, 0.000], [-0.083, 0.000, 4.831]],
  "species": ["Re", "Pb", "Ni", "Ni"],
  "fractional_positions": [[0.376, 0.500, 0.827], [0.374, 0.000, 0.448], [0.875, 0.000, 0.963], [0.875, 0.500, 0.262]]
}

# 2
{
  "formula": "ReNiSbPb2",
  "functional": "SCAN",
  "state": "PBEsol geometry",
  "formation_energy_uncorrected_mev_per_atom": 1007,
  "dft_energy_ev_per_cell": -271.1,
  "dos_at_fermi_per_ev_fu": 3.02,
  "lattice": [[-2.276, 4.025, -1.504], [1.463, -0.890, -4.598], [-4.082, -2.605, -0.795]],
  "species": ["Pb", "Pb", "Ni", "Sb", "Re"],
  "fractional_positions": [[0.000, 0.500, 0.000], [0.000, 0.000, 0.500], [0.000, 0.000, 0.000], [0.500, 0.500, 0.500], [0.500, 0.000, 0.000]]
}

# 3
{
  "formula": "Ni2RhPb",
  "functional": "SCAN",
  "state": "PBEsol geometry",
  "formation_energy_mev_per_atom": 567,
  "dft_energy_ev_per_cell": -139.6,
  "dos_at_fermi_per_ev_fu": 3.78,
  "lattice": [[-0.297, -2.692, 1.118], [2.250, -1.875, -0.077], [3.173, 1.206, 7.588]],
  "species": ["Rh", "Ni", "Ni", "Pb"],
  "fractional_positions": [[0.000, 0.000, 0.000], [0.744, 0.744, 0.767], [0.256, 0.256, 0.233], [0.500, 0.500, 0.500]]
}

# 4
{
  "formula": "NiRh2Pb",
  "functional": "SCAN",
  "state": "PBEsol geometry",
  "formation_energy_mev_per_atom": 80,
  "dft_energy_ev_per_cell": -159.2,
  "dos_at_fermi_per_ev_fu": 2.49,
  "lattice": [[-1.030, -3.698, 1.320], [2.991, 2.331, 2.623], [-3.880, 1.168, 0.245]],
  "species": ["Ni", "Rh", "Rh", "Pb"],
  "fractional_positions": [[0.500, 0.000, 0.500], [0.250, 0.500, 0.750], [0.750, 0.500, 0.250], [0.000, 0.000, 0.000]]
}

# 5
{
  "formula": "NiRu2Pb",
  "functional": "SCAN",
  "state": "PBEsol geometry",
  "formation_energy_mev_per_atom": 522,
  "dft_energy_ev_per_cell": -159.5,
  "dos_at_fermi_per_ev_fu": 3.26,
  "lattice": [[-3.814, 1.089, -0.269], [-1.003, -2.881, 2.550], [2.883, 3.268, 1.727]],
  "species": ["Ni", "Pb", "Ru", "Ru"],
  "fractional_positions": [[0.500, 0.500, 0.000], [0.000, 0.000, 0.000], [0.250, 0.750, 0.500], [0.750, 0.250, 0.500]]
}

# 6
{
  "formula": "Ni2RuPb",
  "functional": "SCAN",
  "state": "PBEsol geometry",
  "formation_energy_mev_per_atom": 479,
  "dft_energy_ev_per_cell": -141.0,
  "dos_at_fermi_per_ev_fu": 3.44,
  "lattice": [[2.998, 0.000, 0.000], [-1.499, 4.254, -0.019], [0.000, -0.906, 4.562]],
  "species": ["Ru", "Ni", "Ni", "Pb"],
  "fractional_positions": [[0.000, 0.000, 0.500], [0.742, 0.484, 0.706], [0.258, 0.516, 0.294], [0.500, 0.000, 0.000]]
}